Record 1
An optimized crystal structure of CdCoW2. Source: Alexandria, functional PBE-GGA.

Unit cell a=4.2117 b=2.7274 c=5.8309 alpha=68.82 beta=90.00 gamma=90.00
With the nearest neighbours (Å) after each atom.
Atoms (fractional coordinates):
Cd 0.5000 0.2500 0.2500  2 Cd 2.73, 2 Co 2.74, 8 W 2.90-2.94
Co 0.5000 0.7500 0.7500  8 W 2.67-2.93, 2 Co 2.73, 2 Cd 2.74
W 0.0000 0.9793 0.9756  3 W 2.51-2.73, 2 Co 2.67
W 0.0000 0.5207 0.5244  3 W 2.51-2.73, 2 Co 2.67

Calculated values
Its total magnetization is 1.0 μB/f.u. The calculation puts the density of states at the Fermi level at 4.08 states/eV/f.u. The final energy comes out at -31.9 eV for the cell shown. The formation energy is 0.5119 eV per atom. The density is 14.3 Mg/m³.

***

Record 2
An optimized crystal structure of CdCoW4. Source: Alexandria, functional PBE-GGA.

Unit cell a=5.2778 b=5.2778 c=5.2778 alpha=60.00 beta=60.00 gamma=60.00
With the nearest neighbours (Å) after each atom.
Atoms (fractional coordinates):
Cd 0.7500 0.7500 0.7500  12 W 3.09, 4 Co 3.23
Co 0.0000 0.0000 0.0000  12 W 3.10, 4 Cd 3.23
W 0.8742 0.3753 0.3753  6 W 2.63-2.64
W 0.3753 0.3753 0.8742  6 W 2.63-2.64
W 0.3753 0.8742 0.3753  6 W 2.63-2.64
W 0.3753 0.3753 0.3753  6 W 2.63-2.64

Calculated values
Its total magnetization is 1.2 μB/f.u. The calculation puts the density of states at the Fermi level at 6.94 states/eV/f.u. The final energy comes out at -55.2 eV for the cell shown. The formation energy is 0.7779 eV per atom. The density is 14.5 Mg/m³.

***

Record 3
An optimized crystal structure of CdCoW2. Source: Alexandria, functional PBE-GGA.

Unit cell a=3.3112 b=4.2091 c=4.4879 alpha=90.00 beta=90.00 gamma=90.00
With the nearest neighbours (Å) after each atom.
Atoms (fractional coordinates):
Cd 0.5000 0.0000 0.5000  4 Co 2.68, 4 W 2.79
Co 0.0000 0.5000 0.5000  4 Cd 2.68, 4 W 2.79
W 0.0000 0.0000 0.0000  4 W 2.68, 4 Cd 2.79
W 0.5000 0.5000 0.0000  4 W 2.68, 4 Co 2.79

Calculated values
Its total magnetization is 1.3 μB/f.u. The calculation puts the density of states at the Fermi level at 4.47 states/eV/f.u. The final energy comes out at -31.7 eV for the cell shown. The formation energy is 0.5542 eV per atom. The density is 14.3 Mg/m³.

***

Record 4
An optimized crystal structure of CdCoW2. Source: Alexandria, functional PBE-GGA.

Unit cell a=7.1966 b=7.1966 c=5.7143 alpha=50.97 beta=50.97 gamma=90.00
With the nearest neighbours (Å) after each atom.
Atoms (fractional coordinates):
Co 0.5000 0.5000 0.0000  4 W 2.38, 2 Cd 2.60
Co 0.2500 0.7500 0.5000  4 W 2.38, 2 Cd 2.60
W 0.5713 0.1250 0.2500  2 Co 2.38
W 0.1787 0.6250 0.2500  2 Co 2.38
W 0.3750 0.4287 0.7500  2 Co 2.38
W 0.8750 0.8213 0.7500  2 Co 2.38
Cd 0.0000 0.0000 0.0000  2 Co 2.60, 4 W 2.90
Cd 0.7500 0.2500 0.5000  2 Co 2.60, 4 W 2.90

Calculated values
Its total magnetization is 0.0 μB/f.u. The calculation puts the density of states at the Fermi level at 5.28 states/eV/f.u. The final energy comes out at -60.6 eV for the cell shown. The formation energy is 0.9075 eV per atom. The density is 13.3 Mg/m³.

***

Record 5
An optimized crystal structure of Cd2CoW. Source: Alexandria, functional PBE-GGA.

Unit cell a=2.7632 b=2.7632 c=8.9845 alpha=90.00 beta=90.00 gamma=100.95
With the nearest neighbours (Å) after each atom.
Atoms (fractional coordinates):
Cd 0.0000 0.0000 0.0159  4 Co 2.74-2.99, 4 Cd 2.76, 2 W 2.97
Cd 0.0000 0.0000 0.4841  4 Co 2.74-2.99, 4 Cd 2.76, 2 W 2.97
Co 0.5000 0.5000 0.2500  8 Cd 2.74-2.99, 4 Co 2.76
W 0.5000 0.5000 0.7500  4 W 2.76, 4 Cd 2.97

Calculated values
Its total magnetization is 1.7 μB/f.u. The calculation puts the density of states at the Fermi level at 4.27 states/eV/f.u. The final energy comes out at -19.7 eV for the cell shown. The formation energy is 0.5525 eV per atom. The excess energy over the best structure of this formula in the dataset comes out at 306.2 meV/atom. The density is 11.5 Mg/m³.

***

Record 6
An optimized crystal structure of CdCoW2. Source: Alexandria, functional PBE-GGA.

Unit cell a=5.1917 b=5.1917 c=5.1917 alpha=145.09 beta=126.66 gamma=65.35
With the nearest neighbours (Å) after each atom.
Atoms (fractional coordinates):
Cd 0.4855 0.4855 0.0000  2 Co 2.69, 8 W 2.81-3.00
Co 0.2351 0.7351 0.5000  2 W 2.51, 2 Cd 2.69
W 0.0100 0.0100 0.0000  2 Co 2.51, 2 W 2.62
W 0.7694 0.2694 0.5000  2 W 2.62, 4 Co 2.82, 2 Cd 2.93

Calculated values
Its total magnetization is 1.2 μB/f.u. The calculation puts the density of states at the Fermi level at 3.44 states/eV/f.u. The final energy comes out at -31.6 eV for the cell shown. The formation energy is 0.5860 eV per atom. The density is 14.1 Mg/m³.

***

Record 7
An optimized crystal structure of Cd2CoW. Source: Alexandria, functional PBE-GGA.

Unit cell a=4.6348 b=4.6348 c=5.5313 alpha=82.41 beta=82.41 gamma=35.34
With the nearest neighbours (Å) after each atom.
Atoms (fractional coordinates):
Cd 0.0011 0.0011 0.9901  5 Cd 2.74-2.90, 2 Co 2.81, 3 W 2.84-2.93
Cd 0.2419 0.2419 0.2532  5 Cd 2.74-2.90, 3 Co 2.88-3.00, 2 W 2.89
Co 0.5006 0.5006 0.5514  3 W 2.52-2.62, 2 Cd 2.81, 2 Co 2.81
W 0.7564 0.7564 0.7053  3 Co 2.52-2.62, 2 W 2.81

Calculated values
Its total magnetization is 0.3 μB/f.u. The calculation puts the density of states at the Fermi level at 3.36 states/eV/f.u. The final energy comes out at -19.8 eV for the cell shown. The formation energy is 0.5342 eV per atom. The excess energy over the best structure of this formula in the dataset comes out at 288.0 meV/atom. The density is 11.4 Mg/m³.

***

Record 8
An optimized crystal structure of CdCoW2. Source: Alexandria, functional PBE-GGA.

Unit cell a=4.3050 b=2.7263 c=5.4467 alpha=81.93 beta=90.00 gamma=90.00
With the nearest neighbours (Å) after each atom.
Atoms (fractional coordinates):
Cd 0.0000 0.6342 0.5013  2 Co 2.67, 2 Cd 2.73, 7 W 2.89-2.96
Co 0.5000 0.6334 0.7912  3 W 2.49-2.64, 2 Cd 2.67, 2 Co 2.73
W 0.0000 0.0045 0.9778  4 Co 2.64-2.85, 4 W 2.67-2.73, 3 Cd 2.89-2.91
W 0.5000 0.2279 0.2298  1 Co 2.49, 4 W 2.67-2.73

Calculated values
Its total magnetization is 0.0 μB/f.u. The calculation puts the density of states at the Fermi level at 3.51 states/eV/f.u. The final energy comes out at -32.0 eV for the cell shown. The formation energy is 0.4848 eV per atom. The density is 14.1 Mg/m³.

***

Record 9
An optimized crystal structure of Cd2CoW. Source: Alexandria, functional PBE-GGA.

Unit cell a=9.8991 b=9.8991 c=9.8991 alpha=16.61 beta=16.61 gamma=16.61
With the nearest neighbours (Å) after each atom.
Atoms (fractional coordinates):
Cd 0.0063 0.0063 0.0063  6 Cd 2.86, 3 W 3.09
Cd 0.2386 0.2386 0.2386  3 Co 2.84, 6 Cd 2.86
Co 0.4930 0.4930 0.4930  3 W 2.50
W 0.7621 0.7621 0.7621  3 Co 2.50

Calculated values
Its total magnetization is 0.2 μB/f.u. The calculation puts the density of states at the Fermi level at 3.03 states/eV/f.u. The final energy comes out at -20.6 eV for the cell shown. The formation energy is 0.3299 eV per atom. The excess energy over the best structure of this formula in the dataset comes out at 83.7 meV/atom. The density is 11.2 Mg/m³.

***

Record 10
An optimized crystal structure of Cd2CoW. Source: Alexandria, functional PBE-GGA.

Unit cell a=4.5402 b=4.5402 c=4.5402 alpha=60.00 beta=60.00 gamma=60.00
With the nearest neighbours (Å) after each atom.
Atoms (fractional coordinates):
Cd 0.0000 0.0000 0.0000  4 Cd 2.78, 4 W 2.78
Cd 0.2500 0.2500 0.2500  4 Co 2.78, 4 Cd 2.78
Co 0.5000 0.5000 0.5000  4 Cd 2.78, 4 W 2.78
W 0.7500 0.7500 0.7500  4 Co 2.78, 4 Cd 2.78

Calculated values
Its total magnetization is 0.8 μB/f.u. The calculation puts the density of states at the Fermi level at 3.02 states/eV/f.u. The final energy comes out at -19.0 eV for the cell shown. The formation energy is 0.7247 eV per atom. The excess energy over the best structure of this formula in the dataset comes out at 478.4 meV/atom. The density is 11.7 Mg/m³.

***

Record 11
An optimized crystal structure of CdCoW2. Source: Alexandria, functional PBE-GGA.

Unit cell a=2.7613 b=2.7613 c=8.1442 alpha=90.00 beta=90.00 gamma=89.96
With the nearest neighbours (Å) after each atom.
Atoms (fractional coordinates):
Cd 0.5000 0.5000 0.2500  4 Cd 2.76, 8 W 3.04
Co 0.5000 0.5000 0.7500  8 W 2.62, 4 Co 2.76
W 0.0000 0.0000 0.9642  4 Co 2.62, 4 W 2.76
W 0.0000 0.0000 0.5358  4 Co 2.62, 4 W 2.76

Calculated values
Its total magnetization is 0.9 μB/f.u. The calculation puts the density of states at the Fermi level at 3.67 states/eV/f.u. The final energy comes out at -32.4 eV for the cell shown. The formation energy is 0.3899 eV per atom. The density is 14.4 Mg/m³.

***

Record 12
An optimized crystal structure of Y3CdCo. Source: Alexandria, functional PBE-GGA.

Unit cell a=5.1885 b=5.1885 c=5.1885 alpha=90.00 beta=90.00 gamma=90.00
With the nearest neighbours (Å) after each atom.
Atoms (fractional coordinates):
Y 0.0000 0.5000 0.0000  2 Co 2.59
Y 0.0000 0.0000 0.5000  2 Co 2.59
Y 0.5000 0.0000 0.0000  2 Co 2.59
Co 0.0000 0.0000 0.0000  6 Y 2.59
Cd 0.5000 0.5000 0.5000  12 Y 3.67

Calculated values
Its total magnetization is 0.0 μB/f.u. The calculation puts the density of states at the Fermi level at 7.28 states/eV/f.u. The final energy comes out at -27.9 eV for the cell shown. The formation energy is -0.0983 eV per atom. The excess energy over the best structure of this formula in the dataset comes out at 112.5 meV/atom. The density is 5.2 Mg/m³.